Record 1
A relaxed Y2BeCu6Pd crystal. Source: the Alexandria database, functional PBE.

Raw total energy in eV/atom: -4.607
Space group: I4/mmm
Volume in Å³/f.u.: 172
ΔH_f (0 K) in eV/atom: 0.04

a b c (Å): 6.245 6.247 6.243
angles (deg): 60.06 60.07 90.09
Fractional coordinates of all 10 atoms:
Cu1 0.228 0.228 0.000
Be1 0.000 0.000 0.000
Cu2 0.228 0.228 0.545
Pd1 0.500 0.500 0.000
Cu3 0.772 0.772 0.000
Y1 0.250 0.750 0.500
Y2 0.750 0.250 0.500
Cu4 0.772 0.227 0.000
Cu5 0.228 0.772 0.000
Cu6 0.772 0.772 0.455

Record 2
A relaxed MoPtI crystal. Source: the Alexandria database, functional PBE.

Raw total energy in eV/atom: -5.554
Space group: Amm2
Energy relative to the elements, uncorrected in eV/atom: 0.59
Volume in Å³/f.u.: 68

a b c (Å): 3.826 3.893 10.555
angles (deg): 90.00 90.00 119.43
Fractional coordinates of all 6 atoms:
I1 0.632 0.264 0.311
Pt1 0.646 0.292 0.000
Mo1 0.315 0.630 0.122
Pt2 0.127 0.253 0.500
Mo2 0.315 0.630 0.878
I2 0.632 0.264 0.689

Record 3
A relaxed LuScRuAu crystal. Source: the Alexandria database, functional PBE.

Raw total energy in eV/atom: -6.513
Space group: F-43m
Volume in Å³/f.u.: 76
ΔH_f (0 K) in eV/atom: -0.66

a b c (Å): 4.761 4.761 4.761
angles (deg): 60.00 60.00 60.00
Fractional coordinates of all 4 atoms:
Au1 0.250 0.250 0.250
Sc1 0.000 0.000 0.000
Lu1 0.500 0.500 0.500
Ru1 0.750 0.750 0.750

Record 4
A relaxed BaEr3Ru crystal. Source: the Alexandria database, functional PBE.

Raw total energy in eV/atom: -5.114
Space group: Pm-3m
Volume in Å³/f.u.: 165
ΔH_f (0 K) in eV/atom: -0.14

a b c (Å): 5.482 5.482 5.482
angles (deg): 90.00 90.00 90.00
Fractional coordinates of all 5 atoms:
Ba1 0.500 0.500 0.500
Er1 0.000 0.500 0.000
Ru1 0.000 0.000 0.000
Er2 0.500 0.000 0.000
Er3 0.000 0.000 0.500

Record 5
A relaxed SmScSi2Tc crystal. Source: the Alexandria database, functional PBE.

Raw total energy in eV/atom: -7.146
Space group: I-4m2
Energy relative to the elements, uncorrected in eV/atom: -0.69
Volume in Å³/f.u.: 94

a b c (Å): 4.030 4.030 6.449
angles (deg): 108.21 108.21 90.00
Fractional coordinates of all 5 atoms:
Sm1 0.000 0.000 0.000
Sc1 0.750 0.250 0.500
Si1 0.397 0.397 0.793
Si2 0.603 0.603 0.207
Tc1 0.250 0.750 0.500

Record 6
A relaxed Ta3Cr5N4 crystal. Source: the Alexandria database, functional PBE.

Raw total energy in eV/atom: -10.414
Space group: P4mm
Energy relative to the elements, uncorrected in eV/atom: -0.67
Volume in Å³/f.u.: 132

a b c (Å): 3.002 3.002 14.605
angles (deg): 90.00 90.00 90.00
Each line ends with the local moment (μB).
Fractional coordinates of all 12 atoms:
Cr1 0.000 0.000 0.171  2.24
Ta1 0.500 0.500 0.006  0.01
Cr2 0.000 0.000 0.883  -0.01
N1 0.000 0.000 0.023  -0.01
N2 0.500 0.500 0.157  -0.04
N3 0.000 0.000 0.517  0.00
Cr3 0.500 0.500 0.796  0.05
Cr4 0.500 0.500 0.288  -1.24
Ta2 0.500 0.500 0.494  -0.09
N4 0.500 0.500 0.653  0.00
Ta3 0.000 0.000 0.677  -0.01
Cr5 0.000 0.000 0.374  0.72

Record 7
A relaxed MnBAsBr2 crystal. Source: the Alexandria database, functional PBE.

Raw total energy in eV/atom: -3.385
Energy above the most stable polymorph in this dataset in meV per atom: 420
Space group: P4/mmm
Energy relative to the elements, uncorrected in eV/atom: 1.38
Volume in Å³/f.u.: 93

a b c (Å): 4.535 4.535 4.525
angles (deg): 90.00 90.00 90.00
Each line ends with the local moment (μB).
Fractional coordinates of all 5 atoms:
B1 0.000 0.000 0.000  0.00
Mn1 0.500 0.500 0.500  -0.08
As1 0.000 0.000 0.500  0.09
Br1 0.500 0.000 0.000  0.04
Br2 0.000 0.500 0.000  0.04

Record 8
A relaxed Pm4DyEr2Mg crystal. Source: the Alexandria database, functional PBE.

Raw total energy in eV/atom: -4.283
Space group: P4/mmm
Volume in Å³/f.u.: 253
ΔH_f (0 K) in eV/atom: 0.01

a b c (Å): 5.046 5.052 11.132
angles (deg): 63.01 90.00 90.00
Fractional coordinates of all 8 atoms:
Pm1 0.000 0.254 0.246
Pm2 0.500 0.753 0.246
Pm3 0.500 0.247 0.754
Mg1 0.500 0.500 0.000
Pm4 0.000 0.746 0.754
Dy1 0.000 0.500 0.500
Er1 0.500 0.000 0.500
Er2 0.000 0.000 0.000

Record 9
A relaxed YZrSc3 crystal. Source: the Alexandria database, functional PBE.

Raw total energy in eV/atom: -6.273
Energy above the most stable polymorph in this dataset in meV per atom: 461
Space group: Pm-3m
Volume in Å³/f.u.: 141
ΔH_f (0 K) in eV/atom: 0.53

a b c (Å): 5.209 5.209 5.209
angles (deg): 90.00 90.00 90.00
Fractional coordinates of all 5 atoms:
Sc1 0.500 0.000 0.000
Y1 0.500 0.500 0.500
Sc2 0.000 0.000 0.500
Sc3 0.000 0.500 0.000
Zr1 0.000 0.000 0.000

Record 10
A relaxed LiTaTe2 crystal. Source: the Alexandria database, functional PBE.

Raw total energy in eV/atom: -5.353
Space group: P2/m
Energy relative to the elements, uncorrected in eV/atom: -0.34
Volume in Å³/f.u.: 88

a b c (Å): 3.475 3.479 7.695
angles (deg): 71.67 90.00 90.00
Fractional coordinates of all 4 atoms:
Te1 0.000 0.095 0.976
Li1 0.500 0.250 0.250
Ta1 0.500 0.750 0.750
Te2 0.000 0.405 0.524

Record 11
A relaxed TaAg2Ir crystal. Source: the Alexandria database, functional PBE.

Raw total energy in eV/atom: -6.579
Energy above the most stable polymorph in this dataset in meV per atom: 0
Space group: P4mm
Volume in Å³/f.u.: 69
ΔH_f (0 K) in eV/atom: 0.03

a b c (Å): 2.922 2.922 8.061
angles (deg): 90.00 90.00 90.00
Fractional coordinates of all 4 atoms:
Ag1 0.500 0.500 0.258
Ta1 0.500 0.500 0.728
Ir1 0.000 0.000 0.516
Ag2 0.000 0.000 0.999

Record 12
A relaxed Sr2Er2Mg15 crystal. Source: the Alexandria database, functional PBE.

Raw total energy in eV/atom: -1.937
Space group: R-3m
Volume in Å³/f.u.: 517
ΔH_f (0 K) in eV/atom: -0.02

a b c (Å): 8.083 8.083 8.083
angles (deg): 82.85 82.85 82.85
Fractional coordinates of all 19 atoms:
Mg1 0.290 0.710 0.000
Mg2 0.710 0.290 0.000
Mg3 0.850 0.352 0.352
Sr1 0.660 0.660 0.660
Mg4 0.352 0.352 0.850
Mg5 0.000 0.290 0.710
Mg6 0.000 0.710 0.290
Er1 0.901 0.901 0.901
Mg7 0.648 0.648 0.150
Mg8 0.352 0.850 0.352
Mg9 0.000 0.000 0.500
Er2 0.099 0.099 0.099
Mg10 0.000 0.500 0.000
Sr2 0.340 0.340 0.340
Mg11 0.150 0.648 0.648
Mg12 0.710 0.000 0.290
Mg13 0.648 0.150 0.648
Mg14 0.290 0.000 0.710
Mg15 0.500 0.000 0.000